# 1
## Na2TlBiBr6 (PBE)

Data for a relaxed structure of Na2TlBiBr6.

Results
Uncorrected energy   -2.988 eV/atom

```
data_Na2TlBiBr6
_space_group_name_H-M_alt 'P 1'
_space_group_IT_number 1
_cell_length_a 7.665
_cell_length_b 7.665
_cell_length_c 8.278
_cell_angle_alpha 62.42
_cell_angle_beta 62.41
_cell_angle_gamma 59.98
loop_
_space_group_symop_operation_xyz
'x,y,z'
loop_
_atom_site_label
_atom_site_type_symbol
_atom_site_fract_x
_atom_site_fract_y
_atom_site_fract_z
_atom_site_occupancy
Br1 Br 0.722 0.147 0.760 1
Tl1 Tl 0.810 0.811 0.568 1
Na1 Na 0.004 0.004 0.989 1
Bi1 Bi 0.326 0.326 0.022 1
Br2 Br 0.242 0.933 0.238 1
Br3 Br 0.147 0.370 0.760 1
Br4 Br 0.587 0.242 0.238 1
Br5 Br 0.370 0.722 0.760 1
Br6 Br 0.933 0.587 0.238 1
Na2 Na 0.519 0.519 0.442 1
```

***

# 2
## YTaCo (PBE)

Data for a relaxed structure of YTaCo.

Results
Uncorrected energy   -8.648 eV/atom
Formation energy   -16.8 kJ/mol of atoms

```
data_YTaCo
_space_group_name_H-M_alt 'P 1'
_space_group_IT_number 1
_cell_length_a 4.378
_cell_length_b 4.378
_cell_length_c 6.311
_cell_angle_alpha 90.00
_cell_angle_beta 90.00
_cell_angle_gamma 90.00
loop_
_space_group_symop_operation_xyz
'x,y,z'
loop_
_atom_site_label
_atom_site_type_symbol
_atom_site_fract_x
_atom_site_fract_y
_atom_site_fract_z
_atom_site_occupancy
Ta1 Ta 0.500 0.500 0.500 1
Y1 Y 0.500 0.000 0.126 1
Co1 Co 0.000 0.500 0.316 1
Y2 Y 0.000 0.500 0.874 1
Ta2 Ta 0.000 0.000 0.500 1
Co2 Co 0.500 0.000 0.684 1
```

***

# 3
## CaTl2Si (PBE)

Data for a relaxed structure of CaTl2Si.

Results
Uncorrected energy   -2.990 eV/atom

```
data_CaTl2Si
_space_group_name_H-M_alt 'P 1'
_space_group_IT_number 1
_cell_length_a 3.758
_cell_length_b 3.918
_cell_length_c 6.997
_cell_angle_alpha 90.00
_cell_angle_beta 90.00
_cell_angle_gamma 90.00
loop_
_space_group_symop_operation_xyz
'x,y,z'
loop_
_atom_site_label
_atom_site_type_symbol
_atom_site_fract_x
_atom_site_fract_y
_atom_site_fract_z
_atom_site_occupancy
Ca1 Ca 0.500 0.500 0.250 1
Tl1 Tl 0.000 0.000 0.968 1
Si1 Si 0.500 0.500 0.750 1
Tl2 Tl 0.000 0.000 0.532 1
```